Record 1
# Tb2Al3Ge4 (meta-GGA SCAN, PBEsol geometry)
# ΔE_f (eV per atom): -0.486
# Magnetic moment (μB/f.u.): 0.00
# Uncorrected energy (eV per formula unit): -197.5
data_Tb2Al3Ge4
_cell_length_a 5.867
_cell_length_b 14.617
_cell_length_c 7.888
_cell_angle_alpha 90.00
_cell_angle_beta 90.00
_cell_angle_gamma 90.00
_space_group_name_H-M_alt 'C m c e'
_space_group_IT_number 64
_space_group_name_Hall '-C 2ac 2'
loop_
_atom_site_label
_atom_site_fract_x
_atom_site_fract_y
_atom_site_fract_z
Tb1 0.000 0.115 0.079
Al1 0.000 0.000 0.500
Al2 0.250 0.217 0.750
Ge1 0.000 0.184 0.447
Ge2 0.250 0.045 0.750

Record 2
# TePbW2 (meta-GGA SCAN, PBEsol geometry)
# Magnetic moment (μB/f.u.): 0.00
# Formation energy from raw total energies (kcal/mol of atoms): 33.07
# Distance to the lowest polymorph of the same formula (eV per formula unit): 3.438
# Uncorrected energy (eV per formula unit): -246.7
data_TePbW2
_cell_length_a 3.287
_cell_length_b 4.537
_cell_length_c 5.278
_cell_angle_alpha 90.00
_cell_angle_beta 90.00
_cell_angle_gamma 90.00
_space_group_name_H-M_alt 'P m m m'
_space_group_IT_number 47
loop_
_space_group_symop_operation_xyz
'x,y,z'
'-x,-y,-z'
'-x,-y,z'
'x,y,-z'
'x,-y,-z'
'-x,y,z'
'-x,y,-z'
'x,-y,z'
loop_
_atom_site_label
_atom_site_fract_x
_atom_site_fract_y
_atom_site_fract_z
Te1 0.000 0.000 0.000
Pb1 0.500 0.000 0.500
W1 0.000 0.500 0.500
W2 0.500 0.500 0.000

Record 3
# ZnFe2 (meta-GGA SCAN, PBEsol geometry)
# ΔE_f (eV per atom): 0.058
# Magnetic moment (μB/f.u.): 4.90
# Uncorrected energy (eV per formula unit): -49.6
data_ZnFe2
_cell_length_a 7.0415
_cell_length_b 7.0415
_cell_length_c 2.4345
_cell_angle_alpha 90.00
_cell_angle_beta 90.00
_cell_angle_gamma 120.00
_space_group_name_H-M_alt 'P -6 2 m'
_space_group_IT_number 189
_space_group_name_Hall 'P -6 -2'
loop_
_atom_site_label
_atom_site_fract_x
_atom_site_fract_y
_atom_site_fract_z
Zn1 0.0000 0.0000 0.0000
Zn2 0.3333 0.6667 0.5000
Fe1 0.0000 0.3530 0.0000
Fe2 0.0000 0.6877 0.5000

Record 4
# PbC (meta-GGA SCAN, PBEsol geometry)
# ΔE_f (eV per atom): 0.881
# Magnetic moment (μB/f.u.): 0.00
# Distance to the lowest polymorph of the same formula (eV per formula unit): 0.000
# Uncorrected energy (eV per formula unit): -84.1
data_PbC
_cell_length_a 11.671
_cell_length_b 3.649
_cell_length_c 7.590
_cell_angle_alpha 90.00
_cell_angle_beta 128.12
_cell_angle_gamma 90.00
_space_group_name_H-M_alt 'C 1 m 1'
_space_group_IT_number 8
loop_
_space_group_symop_operation_xyz
'x,y,z'
'x,-y,z'
'x+1/2,y+1/2,z'
'x+1/2,-y+1/2,z'
loop_
_atom_site_label
_atom_site_fract_x
_atom_site_fract_y
_atom_site_fract_z
Pb1 0.000 0.000 0.000
Pb2 0.148 0.500 0.494
Pb3 0.345 0.500 0.321
C1 0.226 0.000 0.052
C2 0.253 0.000 0.907
C3 0.290 0.000 0.772

Record 5
# NdCd (meta-GGA SCAN, PBEsol geometry)
# ΔE_f (eV per atom): -0.427
# Magnetic moment (μB/f.u.): 0.50
# Uncorrected energy (eV per formula unit): -74.8
data_NdCd
_cell_length_a 3.778
_cell_length_b 3.778
_cell_length_c 3.778
_cell_angle_alpha 90.00
_cell_angle_beta 90.00
_cell_angle_gamma 90.00
_space_group_name_H-M_alt 'P m -3 m'
_space_group_IT_number 221
_space_group_name_Hall '-P 4 2 3'
loop_
_atom_site_label
_atom_site_fract_x
_atom_site_fract_y
_atom_site_fract_z
Nd1 0.000 0.000 0.000
Cd1 0.500 0.500 0.500

Record 6
# BaAg2Bi2 (meta-GGA SCAN, PBEsol geometry)
# ΔE_f (eV per atom): -0.424
# Magnetic moment (μB/f.u.): 0.00
# Uncorrected energy (eV per formula unit): -261.6
data_BaAg2Bi2
_cell_length_a 4.779
_cell_length_b 4.779
_cell_length_c 12.626
_cell_angle_alpha 90.00
_cell_angle_beta 90.00
_cell_angle_gamma 90.00
_space_group_name_H-M_alt 'I 4/m m m'
_space_group_IT_number 139
_space_group_name_Hall '-I 4 2'
loop_
_atom_site_label
_atom_site_fract_x
_atom_site_fract_y
_atom_site_fract_z
Ba1 0.000 0.000 0.000
Ag1 0.000 0.500 0.250
Bi1 0.000 0.000 0.376

Record 7
# BeRh3Cl (meta-GGA SCAN, PBEsol geometry)
# Magnetic moment (μB/f.u.): 0.00
# Formation energy from raw total energies (kcal/mol of atoms): 21.04
# Uncorrected energy (eV per formula unit): -109.1
data_BeRh3Cl
_cell_length_a 4.274
_cell_length_b 4.274
_cell_length_c 4.274
_cell_angle_alpha 90.00
_cell_angle_beta 90.00
_cell_angle_gamma 90.00
_space_group_name_H-M_alt 'P m -3 m'
_space_group_IT_number 221
_space_group_name_Hall '-P 4 2 3'
loop_
_atom_site_label
_atom_site_fract_x
_atom_site_fract_y
_atom_site_fract_z
Be1 0.000 0.000 0.000
Rh1 0.000 0.500 0.500
Cl1 0.500 0.500 0.500

Record 8
# Cu3Rh2 (meta-GGA SCAN, PBEsol geometry)
# ΔE_f (eV per atom): 0.054
# Magnetic moment (μB/f.u.): 0.00
# Uncorrected energy (eV per formula unit): -112.9
data_Cu3Rh2
_cell_length_a 2.6105
_cell_length_b 2.6105
_cell_length_c 31.4523
_cell_angle_alpha 90.00
_cell_angle_beta 90.00
_cell_angle_gamma 120.00
_space_group_name_H-M_alt 'R -3 m'
_space_group_IT_number 166
_space_group_name_Hall '-R 3 2"'
loop_
_atom_site_label
_atom_site_fract_x
_atom_site_fract_y
_atom_site_fract_z
Cu1 0.0000 0.0000 0.0000
Cu2 0.0000 0.0000 0.1983
Rh1 0.0000 0.0000 0.4009

no.,calculated volume (Å³/cell)
1,676.5
2,78.7
3,104.5
4,254.3
5,53.9
6,288.3
7,78.1
8,185.6